Below is an optimized crystal structure of Sn2BiAu2, with properties calculated at the PBE level.

Cell: 8.4299 8.4299 8.4299 Å, 152.52 152.52 39.25°
Closest atoms and distances in Å follow each position.
Atoms (fractional coordinates):
Sn 0.1108 0.1108 0.0000  4 Au 2.98, 4 Bi 3.33
Sn 0.8892 0.8892 0.0000  4 Au 2.98, 4 Bi 3.33
Bi 0.5000 0.5000 0.0000  8 Sn 3.33
Au 0.2500 0.7500 0.5000  4 Au 2.83, 4 Sn 2.98
Au 0.7500 0.2500 0.5000  4 Au 2.83, 4 Sn 2.98

Output
**V**: 127.33 Å³ per cell
**Energy above the lowest structure with this stoichiometry**: 87 meV per atom
**M_tot**: 0.00 μB/f.u.
**Space-group type**: I4/mmm (139)
**N(E_F)**: 2.3 states/eV per cell